[1]
Here is a relaxed Pr4BiTeSe2 crystal from Alexandria. Energies are from PBE.

```
Pr4BiTeSe2
1.0
-0.320 -3.000 -3.209
5.588 3.629 -3.949
6.763 -2.882 2.019
Bi Pr Se Te
1 4 2 1
Cartesian
2.634 0.315 -3.579
9.357 0.670 -1.560
5.796 0.634 -4.193
6.234 -2.886 -0.947
2.674 -2.923 -3.579
3.222 -2.941 -0.595
6.763 -2.882 2.019
6.175 0.374 -0.965
```

***

[2]
Here is a relaxed Pr6BiTe3Se2 crystal from Alexandria. Energies are from PBE.

```
Pr6BiTe3Se2
1.0
7.681 -0.001 -0.002
-3.840 6.653 -0.002
-1.283 -2.221 7.405
Te Pr Bi Se
3 6 1 2
Cartesian
-2.641 4.479 3.701
1.279 2.215 3.701
5.199 -0.049 3.701
2.488 4.308 1.662
2.692 0.007 1.706
-0.133 4.423 5.695
0.071 0.122 5.739
3.898 2.095 5.695
-1.339 2.335 1.706
0.000 0.000 0.000
-0.020 4.446 -0.002
3.861 2.205 -0.002
```

***

Uncorrected formation energy in eV per atom, matching the order above: -1.52 -1.50